# CaZrOF2 GGA-PBE optimized geometry
data_CaZrOF2
_space_group_name_H-M_alt 'P 4/m m m'
_space_group_IT_number 123
_space_group_name_Hall '-P 4 2'
_cell_length_a 4.505
_cell_length_b 4.505
_cell_length_c 4.151
_cell_angle_alpha 90.00
_cell_angle_beta 90.00
_cell_angle_gamma 90.00
loop_
_atom_site_label
_atom_site_type_symbol
_atom_site_fract_x
_atom_site_fract_y
_atom_site_fract_z
Ca1 Ca 0.000 0.000 0.000
Zr1 Zr 0.500 0.500 0.500
O1 O 0.500 0.500 0.000
F1 F 0.000 0.500 0.500
# Magnetic moment in Bohr magnetons per cell: 1.42
# Energy relative to the elements, uncorrected in eV/atom: -2.52
# E in eV per formula unit: -31.85
# Polymorph energy (0 for the lowest one) in eV per atom: 0.000

***

# Pr6IrPt2Cl3 GGA-PBE optimized geometry
data_Pr6IrPt2Cl3
_space_group_name_H-M_alt 'C 1 2/m 1'
_space_group_IT_number 12
_cell_length_a 7.301
_cell_length_b 12.656
_cell_length_c 7.915
_cell_angle_alpha 90.00
_cell_angle_beta 107.88
_cell_angle_gamma 90.00
loop_
_space_group_symop_operation_xyz
'x,y,z'
'-x,-y,-z'
'-x,y,-z'
'x,-y,z'
'x+1/2,y+1/2,z'
'-x+1/2,-y+1/2,-z'
'-x+1/2,y+1/2,-z'
'x+1/2,-y+1/2,z'
loop_
_atom_site_label
_atom_site_type_symbol
_atom_site_fract_x
_atom_site_fract_y
_atom_site_fract_z
Pr1 Pr 0.232 0.163 0.206
Pr2 Pr 0.243 0.500 0.206
Ir1 Ir 0.000 0.000 0.000
Pt1 Pt 0.000 0.333 0.000
Cl1 Cl 0.000 0.163 0.500
Cl2 Cl 0.000 0.500 0.500
# Magnetic moment in Bohr magnetons per cell: 0.00
# Energy relative to the elements, uncorrected in eV/atom: -1.29
# E in eV per formula unit: -70.66

***

# Hf2TlClO GGA-PBE optimized geometry
data_Hf2TlClO
_space_group_name_H-M_alt 'P 4/m m m'
_space_group_IT_number 123
_space_group_name_Hall '-P 4 2'
_cell_length_a 4.267
_cell_length_b 4.267
_cell_length_c 6.706
_cell_angle_alpha 90.00
_cell_angle_beta 90.00
_cell_angle_gamma 90.00
loop_
_atom_site_label
_atom_site_type_symbol
_atom_site_fract_x
_atom_site_fract_y
_atom_site_fract_z
Hf1 Hf 0.000 0.500 0.000
Tl1 Tl 0.000 0.000 0.500
Cl1 Cl 0.500 0.500 0.500
O1 O 0.000 0.000 0.000
# Magnetic moment in Bohr magnetons per cell: 0.01
# Energy relative to the elements, uncorrected in eV/atom: -0.51
# E in eV per formula unit: -31.63

***

# TbRuPt GGA-PBE optimized geometry
data_TbRuPt
_space_group_name_H-M_alt 'C 1 2/m 1'
_space_group_IT_number 12
_cell_length_a 9.849
_cell_length_b 5.626
_cell_length_c 4.564
_cell_angle_alpha 90.00
_cell_angle_beta 117.25
_cell_angle_gamma 90.00
loop_
_space_group_symop_operation_xyz
'x,y,z'
'-x,-y,-z'
'-x,y,-z'
'x,-y,z'
'x+1/2,y+1/2,z'
'-x+1/2,-y+1/2,-z'
'-x+1/2,y+1/2,-z'
'x+1/2,-y+1/2,z'
loop_
_atom_site_label
_atom_site_type_symbol
_atom_site_fract_x
_atom_site_fract_y
_atom_site_fract_z
Tb1 Tb 0.126 0.000 0.376
Ru1 Ru 0.053 0.500 0.302
Pt1 Pt 0.250 0.250 0.000
# Magnetic moment in Bohr magnetons per cell: 0.00
# E in eV per formula unit: -21.12
# Energy relative to the elements in eV per atom: -0.390